A geometry-optimized Cs2ClF structure, computed with PBE-GGA.

Calculated values
The final energy is -14.2 eV for the cell shown. The value obtained for the polymorph energy (0 for the lowest one) is 84 meV per atom. Its uncorrected formation energy is -8.8 eV per formula unit.

Cell lengths 3.9068, 3.9068, 8.0922 Å; angles 90.00, 90.00, 90.00 degrees
Space group P4/mmm (No. 123)
Symmetry-distinct sites (fractional):
Cs 0.0000 0.0000 0.2241
Cl 0.5000 0.5000 0.5000
F 0.5000 0.5000 0.0000

A geometry-optimized Cs5Cl2F3 structure, computed with PBE-GGA.

Calculated values
The final energy is -74.4 eV for the cell shown. Its uncorrected formation energy is -23.6 eV per formula unit.

Cell lengths 16.0789, 4.5979, 11.5075 Å; angles 90.00, 124.87, 90.00 degrees
Space group C2/m (No. 12)
Symmetry-distinct sites (fractional):
Cs 0.0000 0.0000 0.0000
Cs 0.0829 0.0000 0.4134
Cs 0.1909 0.5000 0.8131
Cl 0.1709 0.5000 0.2664
F 0.0000 0.5000 0.5000
F 0.1136 0.0000 0.8730

A geometry-optimized CsCl2F structure, computed with PBE-GGA.

Calculated values
The final energy is -23.9 eV for the cell shown. Its uncorrected formation energy is -5.5 eV per formula unit.

Cell lengths 8.8953, 5.0448, 7.1096 Å; angles 90.00, 106.88, 90.00 degrees
Space group Cm (No. 8)
Symmetry-distinct sites (fractional):
Cs 0.0000 0.0000 0.0000
Cl 0.0952 0.5000 0.6755
Cl 0.4650 0.0000 0.3679
F 0.3437 0.0000 0.0723